No. 1
Er12Hg3H5 | Alexandria | PBE | optimized geometry; electronic total energy = -77.7 eV per formula unit
1.0
13.280 0.000 0.000
-4.427 12.521 0.000
-4.427 -6.260 10.843
H Er Hg
20 48 12
Direct
0.125 0.750 0.375 H
0.000 0.000 0.000 H
0.750 0.125 0.875 H
0.625 0.875 0.250 H
0.875 0.250 0.625 H
0.000 0.500 0.000 H
0.500 0.000 0.000 H
0.750 0.625 0.375 H
0.000 0.500 0.500 H
0.250 0.875 0.125 H
0.000 0.000 0.500 H
0.125 0.375 0.250 H
0.500 0.500 0.500 H
0.500 0.500 0.000 H
0.375 0.250 0.125 H
0.375 0.125 0.750 H
0.875 0.625 0.750 H
0.500 0.000 0.500 H
0.250 0.375 0.625 H
0.625 0.750 0.875 H
0.794 0.487 0.391 Er
0.891 0.597 0.904 Er
0.294 0.891 0.987 Er
0.193 0.096 0.987 Er
0.391 0.987 0.794 Er
0.807 0.904 0.013 Er
0.513 0.206 0.109 Er
0.597 0.891 0.404 Er
0.013 0.609 0.706 Er
0.794 0.307 0.903 Er
0.987 0.596 0.193 Er
0.206 0.693 0.097 Er
0.097 0.193 0.206 Er
0.596 0.609 0.403 Er
0.904 0.807 0.513 Er
0.903 0.096 0.609 Er
0.693 0.487 0.596 Er
0.513 0.307 0.904 Er
0.693 0.206 0.597 Er
0.807 0.903 0.294 Er
0.706 0.109 0.013 Er
0.487 0.693 0.096 Er
0.403 0.109 0.596 Er
0.193 0.097 0.706 Er
0.706 0.597 0.193 Er
0.109 0.706 0.513 Er
0.903 0.807 0.794 Er
0.109 0.403 0.096 Er
0.487 0.794 0.891 Er
0.391 0.404 0.097 Er
0.096 0.193 0.487 Er
0.294 0.403 0.807 Er
0.404 0.013 0.307 Er
0.206 0.513 0.609 Er
0.403 0.294 0.307 Er
0.891 0.294 0.487 Er
0.307 0.794 0.403 Er
0.597 0.706 0.693 Er
0.013 0.404 0.807 Er
0.596 0.987 0.693 Er
0.404 0.391 0.597 Er
0.609 0.013 0.206 Er
0.097 0.904 0.391 Er
0.096 0.903 0.109 Er
0.307 0.513 0.404 Er
0.904 0.097 0.891 Er
0.609 0.596 0.903 Er
0.987 0.391 0.294 Er
0.750 0.875 0.625 Hg
0.250 0.125 0.375 Hg
0.875 0.125 0.250 Hg
0.625 0.375 0.750 Hg
0.750 0.375 0.125 Hg
0.375 0.625 0.250 Hg
0.125 0.875 0.750 Hg
0.250 0.625 0.875 Hg
0.625 0.250 0.375 Hg
0.875 0.750 0.125 Hg
0.375 0.750 0.625 Hg
0.125 0.250 0.875 Hg

***

No. 2
Ho5Er3H12 | Alexandria | PBE | optimized geometry; electronic total energy = -86.2 eV per formula unit
1.0
-10.789 -1.222 -2.758
5.678 -9.189 -2.972
0.877 1.516 11.065
Ho H Er
20 48 12
Direct
0.500 0.500 0.500 Ho
0.750 0.125 0.875 Ho
0.000 0.000 0.000 Ho
0.375 0.125 0.750 Ho
0.750 0.625 0.375 Ho
0.375 0.250 0.125 Ho
0.250 0.375 0.625 Ho
0.625 0.750 0.875 Ho
0.000 0.000 0.500 Ho
0.875 0.625 0.750 Ho
0.500 0.000 0.000 Ho
0.000 0.500 0.000 Ho
0.000 0.500 0.500 Ho
0.500 0.500 0.000 Ho
0.500 0.000 0.500 Ho
0.625 0.875 0.250 Ho
0.250 0.875 0.125 Ho
0.875 0.250 0.625 Ho
0.125 0.750 0.375 Ho
0.125 0.375 0.250 Ho
0.277 0.844 0.934 H
0.657 0.434 0.590 H
0.410 0.344 0.568 H
0.777 0.343 0.932 H
0.843 0.910 0.066 H
0.156 0.723 0.566 H
0.068 0.910 0.344 H
0.434 0.657 0.090 H
0.566 0.343 0.910 H
0.344 0.410 0.068 H
0.343 0.566 0.410 H
0.090 0.157 0.434 H
0.223 0.657 0.068 H
0.090 0.932 0.156 H
0.932 0.843 0.777 H
0.657 0.223 0.568 H
0.910 0.068 0.844 H
0.934 0.590 0.157 H
0.432 0.156 0.590 H
0.844 0.277 0.434 H
0.566 0.223 0.156 H
0.723 0.156 0.066 H
0.066 0.410 0.843 H
0.777 0.434 0.344 H
0.590 0.934 0.657 H
0.157 0.068 0.723 H
0.568 0.723 0.657 H
0.066 0.656 0.723 H
0.344 0.934 0.777 H
0.068 0.157 0.223 H
0.157 0.090 0.934 H
0.910 0.843 0.566 H
0.590 0.656 0.432 H
0.843 0.932 0.277 H
0.844 0.568 0.910 H
0.934 0.344 0.277 H
0.723 0.568 0.157 H
0.223 0.566 0.656 H
0.432 0.277 0.343 H
0.932 0.090 0.656 H
0.277 0.432 0.843 H
0.434 0.777 0.844 H
0.656 0.066 0.223 H
0.343 0.777 0.432 H
0.656 0.590 0.932 H
0.568 0.844 0.410 H
0.156 0.432 0.090 H
0.410 0.066 0.343 H
0.375 0.625 0.250 Er
0.625 0.375 0.750 Er
0.750 0.375 0.125 Er
0.250 0.125 0.375 Er
0.875 0.750 0.125 Er
0.875 0.125 0.250 Er
0.750 0.875 0.625 Er
0.125 0.250 0.875 Er
0.375 0.750 0.625 Er
0.125 0.875 0.750 Er
0.250 0.625 0.875 Er
0.625 0.250 0.375 Er